*i*
A relaxed Cs2CuBr5 crystal, computed with PBE.

a = 5.526 Å, b = 7.449 Å, c = 7.449 Å
α = 90.00°, β = 90.00°, γ = 90.00°
Fractional positions:
Cs1 0.500 0.500 0.000
Cs2 0.500 0.000 0.500
Cu1 0.000 0.000 0.000
Br1 0.000 0.766 0.766
Br2 0.000 0.234 0.766
Br3 0.000 0.766 0.234
Br4 0.500 0.000 0.000
Br5 0.000 0.234 0.234

D(E_F), states/eV/f.u.: 4.92

---

*ii*
A relaxed Cs2CuBr5 crystal, computed with PBE.

a = 7.507 Å, b = 7.507 Å, c = 7.507 Å
α = 94.43°, β = 117.48°, γ = 117.48°
Fractional positions:
Cs1 0.500 0.263 0.763
Cs2 0.500 0.763 0.263
Cu1 0.000 0.985 0.985
Br1 0.567 0.799 0.799
Br2 0.000 0.232 0.799
Br3 0.000 0.799 0.232
Br4 0.433 0.232 0.232
Br5 0.000 0.704 0.704

---

What is the stability order? It is *ii*, *i*, from most stable to least stable.